No. 1
## Nd2PaS2N2 (PBE)

Data for a relaxed structure of Nd2PaS2N2.

Calculated values
raw formation energy: -1.6257 eV/atom
space group: I4/mmm
energy: -7.90 eV per atom

Unit cell a=8.170 b=8.170 c=8.170 alpha=149.23 beta=149.23 gamma=44.07
Element x y z (fractional)
Nd1 0.132 0.132 0.000
Nd2 0.868 0.868 0.000
Pa1 0.500 0.500 0.000
S1 0.319 0.319 0.000
S2 0.681 0.681 0.000
N1 0.000 0.500 0.500
N2 0.500 0.000 0.500

***

No. 2
## CrRe2Cl (PBE)

Data for a relaxed structure of CrRe2Cl.

Calculated values
raw formation energy: 0.7895 eV/atom
space group: Immm
energy: -8.30 eV per atom
E above lowest polymorph: 50.6 kJ/mol of atoms

Unit cell a=5.198 b=5.198 c=5.198 alpha=148.27 beta=129.45 gamma=60.93
Element x y z (fractional)
Cr1 0.000 0.000 0.000
Re1 0.268 0.768 0.500
Re2 0.732 0.232 0.500
Cl1 0.500 0.500 0.000

***

No. 3
## SrBi2Au2 (PBE)

Data for a relaxed structure of SrBi2Au2.

Calculated values
space group: C2/c
energy: -3.65 eV per atom
ΔE_f: -449 meV/atom

Unit cell a=7.119 b=7.119 c=7.525 alpha=98.53 beta=98.53 gamma=126.28
Element x y z (fractional)
Sr1 0.153 0.847 0.750
Sr2 0.847 0.153 0.250
Bi1 0.127 0.873 0.250
Bi2 0.453 0.547 0.750
Bi3 0.547 0.453 0.250
Bi4 0.873 0.127 0.750
Au1 0.279 0.628 0.049
Au2 0.372 0.721 0.451
Au3 0.628 0.279 0.549
Au4 0.721 0.372 0.951

***

No. 4
## Li3Tb2PuS6 (PBE)

Data for a relaxed structure of Li3Tb2PuS6.

Calculated values
raw formation energy: -1.7254 eV/atom
space group: C2/m
energy: -6.23 eV per atom

Unit cell a=6.842 b=6.842 c=6.564 alpha=99.99 beta=99.99 gamma=120.00
Element x y z (fractional)
Li1 0.000 0.000 0.000
Li2 0.333 0.667 0.000
Li3 0.667 0.333 0.000
Tb1 0.167 0.833 0.500
Tb2 0.833 0.167 0.500
Pu1 0.500 0.500 0.500
S1 0.081 0.416 0.248
S2 0.249 0.249 0.752
S3 0.416 0.081 0.248
S4 0.584 0.919 0.752
S5 0.751 0.751 0.248
S6 0.919 0.584 0.752

***

No. 5
## Ba2ZrSc (PBE)

Data for a relaxed structure of Ba2ZrSc.

Calculated values
space group: F-43m
energy: -4.06 eV per atom
ΔE_f: 617 meV/atom
E above lowest polymorph: 26.3 kJ/mol of atoms

Unit cell a=5.884 b=5.884 c=5.884 alpha=60.00 beta=60.00 gamma=60.00
Element x y z (fractional)
Ba1 0.000 0.000 0.000
Ba2 0.250 0.250 0.250
Zr1 0.750 0.750 0.750
Sc1 0.500 0.500 0.500

***

No. 6
## Na2CdHgCl6 (PBE)

Data for a relaxed structure of Na2CdHgCl6.

Calculated values
raw formation energy: -1.2002 eV/atom
space group: P1
energy: -2.69 eV per atom

Unit cell a=6.961 b=6.967 c=7.330 alpha=90.04 beta=118.28 gamma=119.94
Element x y z (fractional)
Na1 0.000 0.000 0.000
Na2 0.007 0.503 0.510
Cd1 0.411 0.205 0.617
Hg1 0.417 0.708 0.124
Cl1 0.238 0.818 0.324
Cl2 0.242 0.926 0.822
Cl3 0.506 0.418 0.325
Cl4 0.506 0.580 0.823
Cl5 0.895 0.315 0.822
Cl6 0.907 0.087 0.326